The following is a PBE calculation of a geometry-optimized Nd2PtF structure, from Alexandria via LeMat-Bulk.

## Properties
For the volume, the calculation gives 115 Å³/cell. The value obtained for the formation energy (no corrections) is -1.66 eV/atom. The space group is R3m.

Cell: 8.2969 8.2969 8.2969 Å, 28.55 28.55 28.55°
Sites, in units of the cell vectors:
Nd 0.0000 0.0000 0.0000
Nd 0.1931 0.1931 0.1931
Pt 0.6022 0.6022 0.6022
F 0.8209 0.8209 0.8209